No. 1
A relaxed structure of DyIn6Sn. Source: the Alexandria database, functional PBE.

Cell: 4.4958 6.8169 6.8169 Å, 89.96 90.00 90.00°
Sites, in units of the cell vectors:
Sn (0.5000, 0.5000, 0.5000)
In (0.0000, 0.7487, 0.7487)
In (0.5000, 0.0000, 0.5000)
In (0.0000, 0.7488, 0.2512)
In (0.5000, 0.5000, 0.0000)
In (0.0000, 0.2513, 0.2513)
In (0.0000, 0.2512, 0.7488)
Dy (0.5000, 0.0000, 0.0000)

No. 2
A relaxed structure of DyInSn3. Source: the Alexandria database, functional PBE.

**Excess energy over the best structure of this formula in the dataset**: 0.074 eV per atom

Cell: 8.3282 6.3908 10.4792 Å, 90.00 90.00 90.00°
Sites, in units of the cell vectors:
Sn (0.7371, 0.5213, 0.6629)
Sn (0.7648, 0.2500, 0.8989)
Sn (0.7371, 0.9787, 0.6629)
Sn (0.7629, 0.9787, 0.1629)
Sn (0.7629, 0.5213, 0.1629)
Sn (0.2371, 0.0213, 0.8371)
Sn (0.7352, 0.2500, 0.3989)
Sn (0.2629, 0.4787, 0.3371)
Sn (0.2371, 0.4787, 0.8371)
Sn (0.2648, 0.7500, 0.6011)
Sn (0.2629, 0.0213, 0.3371)
Sn (0.2352, 0.7500, 0.1011)
Dy (0.4193, 0.2500, 0.5925)
Dy (0.0807, 0.2500, 0.0925)
Dy (0.9193, 0.7500, 0.9075)
Dy (0.5807, 0.7500, 0.4075)
In (0.4637, 0.2500, 0.0750)
In (0.5363, 0.7500, 0.9250)
In (0.0363, 0.2500, 0.5750)
In (0.9637, 0.7500, 0.4250)

no.,V (Å³/cell),energy of formation (meV per atom)
1,208.9,-135
2,557.7,-214